{
  "formula": "LiH4N",
  "functional": "GGA-PBE",
  "state": "optimized geometry",
  "final_energy_ev_per_fu": -21.27,
  "dos_ef_per_ev_cell": 1.29,
  "vol_a3_per_atom": 5.121,
  "lattice": [[3.3900, 0.0000, 0.0000], [0.0000, 3.6760, 0.0000], [0.0000, 0.0000, 4.9309]],
  "species": ["H", "H", "Li", "Li", "H", "N", "N", "H", "H", "H", "H", "H"],
  "frac_coords": [[0.5000, 0.0229, 0.7618], [0.5000, 0.7500, 0.7540], [0.0000, 0.7500, 0.6296], [0.0000, 0.2500, 0.3704], [0.5000, 0.4771, 0.7618], [0.0000, 0.7500, 0.2003], [0.0000, 0.2500, 0.7997], [0.0000, 0.0000, 0.0000], [0.0000, 0.5000, 0.0000], [0.5000, 0.5229, 0.2382], [0.5000, 0.9771, 0.2382], [0.5000, 0.2500, 0.2460]]
}